No. 1
Below is a relaxed structure of Ac3Au, with properties calculated at the PBE level.

Cell and atoms, written as extended XYZ:
```
4
Lattice="-5.729 1.067 -0.944 -3.993 -4.233 0.991 -3.710 0.453 4.569" Properties=species:S:1:pos:R:3 pbc="T T T"
Ac 0.000 0.000 0.000
Ac -10.073 -2.035 3.462
Ac -3.358 -0.678 1.154
Au -6.716 -1.357 2.308
```

- ΔE to the lowest computed polymorph: 397 meV/atom

***

No. 2
Below is a relaxed structure of Ac3Au, with properties calculated at the PBE level.

Cell and atoms, written as extended XYZ:
```
16
Lattice="6.661 0.000 0.000 3.331 9.423 0.000 3.331 0.000 9.423" Properties=species:S:1:pos:R:3 pbc="T T T"
Au 3.447 2.415 6.210
Au 6.544 6.210 7.008
Au 6.544 3.214 2.415
Au 10.108 7.008 3.214
Ac 3.183 3.692 3.142
Ac 6.809 6.281 3.692
Ac 9.844 5.732 6.281
Ac 11.724 8.982 5.664
Ac 1.667 0.284 1.852
Ac 8.324 7.572 0.284
Ac 8.328 9.139 7.572
Ac 4.929 5.664 0.442
Ac 8.324 1.852 9.139
Ac 5.062 0.442 3.759
Ac 4.929 3.759 8.982
Ac 6.809 3.142 5.732
```

- ΔE to the lowest computed polymorph: 59 meV/atom

***

No. 3
Below is a relaxed structure of AcAu5, with properties calculated at the PBE level.

Cell and atoms, written as extended XYZ:
```
6
Lattice="5.685 0.000 0.000 2.843 4.924 0.000 2.843 1.641 4.642" Properties=species:S:1:pos:R:3 pbc="T T T"
Au 4.273 4.098 2.898
Au 7.097 4.098 2.898
Au 5.685 3.282 0.592
Au 2.843 1.641 1.161
Au 5.685 1.652 2.898
Ac 0.000 0.000 0.000
```

***

No. 4
Below is a relaxed structure of Ac3Au, with properties calculated at the PBE level.

Cell and atoms, written as extended XYZ:
```
4
Lattice="4.076 0.000 0.000 0.000 4.071 0.000 0.000 0.000 10.113" Properties=species:S:1:pos:R:3 pbc="T T T"
Ac 2.038 2.035 1.268
Ac 0.000 2.035 4.748
Ac 2.038 0.000 7.544
Au 0.000 0.000 10.038
```

- ΔE to the lowest computed polymorph: 175 meV/atom

***

Summary of total magnetic moment in μB per formula unit
0.0; 0.0; 0.0; 0.0
(order as listed above)
Summary of VASP energy in eV per atom
-3.907; -4.244; -3.903; -4.129
(order as listed above)
Summary of E_form in meV/atom
-6; -344; -487; -228
(order as listed above)